*one*
A plane-wave DFT calculation with PBE was carried out for a geometry-optimized Ni4Ru structure.

Computed properties:
Spin magnetization in μB/cell: 2.1

Lattice parameters (Å, degrees): 10.371 10.371 10.371 14.21 14.21 14.21
Site moments in Bohr magnetons follow the coordinates.
Atoms (fractional coordinates):
Ni  0.598  0.598  0.598  0.39
Ni  0.199  0.199  0.199  0.64
Ru  0.000  0.000  0.000  0.12
Ni  0.402  0.402  0.402  0.39
Ni  0.801  0.801  0.801  0.64



*two*
A plane-wave DFT calculation with PBE was carried out for a geometry-optimized Ni4Ru structure.

Computed properties:
Spin magnetization in μB/cell: 0.5

Lattice parameters (Å, degrees): 4.402 4.402 4.402 90.00 90.00 90.00
Site moments in Bohr magnetons follow the coordinates.
Atoms (fractional coordinates):
Ni  0.500  0.500  0.000  0.01
Ni  0.000  0.500  0.500  0.01
Ni  0.500  0.000  0.500  0.01
Ru  0.500  0.500  0.500  0.06
Ni  0.000  0.000  0.000  0.43



*three*
A plane-wave DFT calculation with PBE was carried out for a geometry-optimized Ni4Ru structure.

Computed properties:
Spin magnetization in μB/cell: 4.5

Lattice parameters (Å, degrees): 6.133 6.133 6.133 148.48 148.48 45.17
Site moments in Bohr magnetons follow the coordinates.
Atoms (fractional coordinates):
Ru  0.000  0.000  0.000  1.63
Ni  0.250  0.750  0.500  0.71
Ni  0.600  0.600  0.000  0.80
Ni  0.750  0.250  0.500  0.71
Ni  0.400  0.400  0.000  0.80



Verdict on stability: *two* comes out at the bottom.



*one*
A plane-wave DFT calculation with PBE was carried out for a geometry-optimized Ni2Ru3 structure.

Computed properties:
Spin magnetization in μB/cell: 0.0

Lattice parameters (Å, degrees): 4.005 4.005 5.015 90.00 90.00 120.00
Atoms (fractional coordinates):
Ru  0.333  0.667  0.383
Ni  0.333  0.667  0.870
Ru  0.667  0.333  0.617
Ru  0.000  0.000  0.000
Ni  0.667  0.333  0.130



*two*
A plane-wave DFT calculation with PBE was carried out for a geometry-optimized Ni2Ru3 structure.

Computed properties:
Spin magnetization in μB/cell: 0.0

Lattice parameters (Å, degrees): 10.720 10.720 10.720 14.25 14.25 14.25
Atoms (fractional coordinates):
Ru  0.200  0.200  0.200
Ru  0.800  0.800  0.800
Ru  0.000  0.000  0.000
Ni  0.601  0.601  0.601
Ni  0.399  0.399  0.399



Verdict on stability: *one* comes out at the bottom.



*one*
A plane-wave DFT calculation with PBE was carried out for a geometry-optimized NiRu4 structure.

Computed properties:
Spin magnetization in μB/cell: 0.0

Lattice parameters (Å, degrees): 6.479 6.479 6.479 147.78 147.78 46.20
Atoms (fractional coordinates):
Ru  0.402  0.402  0.000
Ru  0.750  0.250  0.500
Ni  0.000  0.000  0.000
Ru  0.250  0.750  0.500
Ru  0.598  0.598  0.000



*two*
A plane-wave DFT calculation with PBE was carried out for a geometry-optimized NiRu4 structure.

Computed properties:
Spin magnetization in μB/cell: 0.0

Lattice parameters (Å, degrees): 4.630 4.630 4.630 99.43 99.43 132.25
Atoms (fractional coordinates):
Ru  0.593  0.796  0.389
Ru  0.204  0.593  0.797
Ni  0.000  0.000  0.000
Ru  0.407  0.204  0.611
Ru  0.796  0.407  0.203



Verdict on stability: *one* comes out at the bottom.



*one*
A plane-wave DFT calculation with PBE was carried out for a geometry-optimized Ni5Ru3 structure.

Computed properties:
Spin magnetization in μB/cell: 0.0

Lattice parameters (Å, degrees): 4.905 6.852 6.852 97.87 113.54 66.46
Atoms (fractional coordinates):
Ru  0.245  0.421  0.170
Ni  0.253  0.293  0.791
Ni  0.750  0.458  0.459
Ni  0.247  0.913  0.665
Ni  0.748  0.707  0.210
Ni  0.250  0.542  0.542
Ru  0.256  0.170  0.422
Ru  0.250  0.045  0.045
Ru  0.750  0.955  0.956
Ni  0.254  0.665  0.913
Ni  0.747  0.335  0.088
Ni  0.248  0.790  0.294
Ru  0.745  0.830  0.579
Ni  0.753  0.210  0.707
Ru  0.756  0.579  0.831
Ni  0.754  0.087  0.335



*two*
A plane-wave DFT calculation with PBE was carried out for a geometry-optimized Ni5Ru3 structure.

Computed properties:
Spin magnetization in μB/cell: 4.2

Lattice parameters (Å, degrees): 7.194 7.193 4.522 90.00 90.00 59.99
Site moments in Bohr magnetons follow the coordinates.
Atoms (fractional coordinates):
Ni  0.799  0.000  0.750  0.39
Ni  0.667  0.667  0.000  0.16
Ni  0.000  0.201  0.750  0.39
Ni  0.000  0.799  0.250  0.39
Ru  0.407  0.593  0.250  0.21
Ru  0.407  0.000  0.750  0.21
Ni  0.667  0.667  0.500  0.16
Ru  0.593  0.407  0.750  0.21
Ni  0.333  0.333  0.500  0.16
Ni  0.333  0.333  0.000  0.16
Ru  0.000  0.593  0.750  0.21
Ni  0.201  0.000  0.250  0.39
Ni  0.201  0.799  0.750  0.39
Ni  0.799  0.201  0.250  0.39
Ru  0.593  0.000  0.250  0.21
Ru  0.000  0.407  0.250  0.21



Verdict on stability: *two* comes out at the bottom.



*one*
A plane-wave DFT calculation with PBE was carried out for a geometry-optimized NiSb4Ru structure.

Computed properties:
Spin magnetization in μB/cell: 0.0

Lattice parameters (Å, degrees): 6.249 6.445 6.492 90.00 88.58 90.00
Atoms (fractional coordinates):
Sb  0.869  0.632  0.134
Sb  0.369  0.868  0.134
Ni  0.500  0.500  0.000
Sb  0.882  0.132  0.359
Sb  0.618  0.632  0.641
Sb  0.118  0.868  0.641
Ru  0.000  0.500  0.500
Sb  0.631  0.132  0.866
Ru  0.500  0.000  0.500
Sb  0.382  0.368  0.359
Ni  0.000  0.000  0.000
Sb  0.131  0.368  0.866



*two*
A plane-wave DFT calculation with PBE was carried out for a geometry-optimized NiSb4Ru structure.

Computed properties:
Spin magnetization in μB/cell: 1.4

Lattice parameters (Å, degrees): 5.964 5.964 5.964 60.00 60.00 60.00
Site moments in Bohr magnetons follow the coordinates.
Atoms (fractional coordinates):
Sb  0.375  0.375  0.875  0.00
Sb  0.375  0.875  0.375  0.00
Ru  0.000  0.000  0.000  1.63
Sb  0.375  0.375  0.375  0.00
Ni  0.750  0.750  0.750  -0.31
Sb  0.875  0.375  0.375  0.00



Verdict on stability: *two* comes out at the bottom.



*one*
A plane-wave DFT calculation with PBE was carried out for a geometry-optimized NiSbTe2Ru structure.

Computed properties:
Spin magnetization in μB/cell: 0.7

Lattice parameters (Å, degrees): 5.233 5.233 4.974 90.00 90.00 90.00
Site moments in Bohr magnetons follow the coordinates.
Atoms (fractional coordinates):
Te  0.500  0.000  0.000  0.02
Sb  0.000  0.000  0.500  0.00
Ni  0.500  0.500  0.500  0.66
Ru  0.000  0.000  0.000  0.00
Te  0.000  0.500  0.000  0.02



*two*
A plane-wave DFT calculation with PBE was carried out for a geometry-optimized NiSbTe2Ru structure.

Computed properties:
Spin magnetization in μB/cell: 0.1

Lattice parameters (Å, degrees): 4.978 4.978 4.751 90.00 90.00 90.00
Site moments in Bohr magnetons follow the coordinates.
Atoms (fractional coordinates):
Ru  0.500  0.500  0.500  0.12
Te  0.500  0.000  0.000  0.00
Te  0.000  0.500  0.000  0.00
Sb  0.000  0.000  0.500  -0.01
Ni  0.000  0.000  0.000  0.00



Verdict on stability: *one* comes out at the bottom.



*one*
A plane-wave DFT calculation with PBE was carried out for a geometry-optimized NiSb2TeRu structure.

Computed properties:
Spin magnetization in μB/cell: 0.7

Lattice parameters (Å, degrees): 4.984 4.984 5.423 90.00 90.00 90.00
Site moments in Bohr magnetons follow the coordinates.
Atoms (fractional coordinates):
Ni  0.500  0.500  0.500  0.62
Sb  0.000  0.500  0.000  0.00
Ru  0.000  0.000  0.000  0.03
Te  0.000  0.000  0.500  0.03
Sb  0.500  0.000  0.000  0.00



*two*
A plane-wave DFT calculation with PBE was carried out for a geometry-optimized NiSb2TeRu structure.

Computed properties:
Spin magnetization in μB/cell: 0.5

Lattice parameters (Å, degrees): 4.812 4.812 5.021 90.00 90.00 90.00
Site moments in Bohr magnetons follow the coordinates.
Atoms (fractional coordinates):
Sb  0.000  0.500  0.000  -0.02
Ni  0.000  0.000  0.000  0.00
Ru  0.500  0.500  0.500  0.54
Te  0.000  0.000  0.500  -0.01
Sb  0.500  0.000  0.000  -0.02



Verdict on stability: *one* comes out at the bottom.



*one*
A plane-wave DFT calculation with PBE was carried out for a geometry-optimized ScNiRu structure.

Computed properties:
Spin magnetization in μB/cell: 0.3

Lattice parameters (Å, degrees): 2.930 2.930 6.206 90.00 90.00 120.00
Site moments in Bohr magnetons follow the coordinates.
Atoms (fractional coordinates):
Sc  0.333  0.667  0.667  -0.02
Ni  0.000  0.000  0.005  0.14
Ru  0.667  0.333  0.328  0.22



*two*
A plane-wave DFT calculation with PBE was carried out for a geometry-optimized ScNiRu structure.

Computed properties:
Spin magnetization in μB/cell: 0.0

Lattice parameters (Å, degrees): 5.006 5.096 5.096 57.91 60.58 60.58
Atoms (fractional coordinates):
Ni  0.500  0.000  0.500
Ru  0.500  0.000  0.000
Ru  0.000  0.000  0.000
Ni  0.500  0.500  0.000
Sc  0.124  0.626  0.626
Sc  0.876  0.374  0.374



*three*
A plane-wave DFT calculation with PBE was carried out for a geometry-optimized ScNiRu structure.

Computed properties:
Spin magnetization in μB/cell: 0.0

Lattice parameters (Å, degrees): 4.995 4.996 4.996 142.60 142.60 53.92
Atoms (fractional coordinates):
Sc  0.667  0.666  0.000
Ni  0.980  0.980  0.000
Ru  0.353  0.353  0.000



Verdict on stability: *one* comes out at the bottom.



*one*
A plane-wave DFT calculation with PBE was carried out for a geometry-optimized ScNiRu structure.

Computed properties:
Spin magnetization in μB/cell: 0.0

Lattice parameters (Å, degrees): 4.188 4.188 4.188 60.00 60.00 60.00
Atoms (fractional coordinates):
Sc  0.250  0.250  0.250
Ru  0.500  0.500  0.500
Ni  0.000  0.000  0.000



*two*
A plane-wave DFT calculation with PBE was carried out for a geometry-optimized ScNiRu structure.

Computed properties:
Spin magnetization in μB/cell: 1.2

Lattice parameters (Å, degrees): 4.161 4.161 4.161 60.00 60.00 60.00
Site moments in Bohr magnetons follow the coordinates.
Atoms (fractional coordinates):
Sc  0.500  0.500  0.500  -0.06
Ru  0.000  0.000  0.000  0.72
Ni  0.250  0.250  0.250  0.49



Verdict on stability: *one* comes out at the bottom.



*one*
A plane-wave DFT calculation with PBE was carried out for a geometry-optimized ScNiRu structure.

Computed properties:
Spin magnetization in μB/cell: 0.0

Lattice parameters (Å, degrees): 4.701 4.701 5.994 81.95 127.03 114.25
Atoms (fractional coordinates):
Ni  0.500  0.500  0.500
Sc  0.775  0.356  0.130
Sc  0.225  0.644  0.870
Ru  0.253  0.981  0.234
Ru  0.747  0.019  0.766
Ni  0.000  0.000  0.500



*two*
A plane-wave DFT calculation with PBE was carried out for a geometry-optimized ScNiRu structure.

Computed properties:
Spin magnetization in μB/cell: 0.0

Lattice parameters (Å, degrees): 4.168 4.168 3.131 90.00 90.00 120.00
Atoms (fractional coordinates):
Ru  0.667  0.333  0.167
Sc  0.333  0.667  0.667
Ni  0.000  0.000  0.167



Verdict on stability: *one* comes out at the bottom.



*one*
A plane-wave DFT calculation with PBE was carried out for a geometry-optimized NiRuSe4 structure.

Computed properties:
Spin magnetization in μB/cell: 4.0

Lattice parameters (Å, degrees): 5.529 5.529 5.529 60.00 60.00 60.00
Site moments in Bohr magnetons follow the coordinates.
Atoms (fractional coordinates):
Se  0.126  0.625  0.625  0.13
Se  0.625  0.126  0.625  0.13
Ru  0.000  0.000  0.000  2.37
Se  0.625  0.625  0.625  0.13
Se  0.625  0.625  0.126  0.13
Ni  0.250  0.250  0.250  0.87



*two*
A plane-wave DFT calculation with PBE was carried out for a geometry-optimized NiRuSe4 structure.

Computed properties:
Spin magnetization in μB/cell: 0.0

Lattice parameters (Å, degrees): 5.872 5.538 8.104 110.37 111.61 88.99
Atoms (fractional coordinates):
Se  0.678  0.517  0.402
Se  0.322  0.483  0.598
Ni  0.068  0.818  0.636
Ru  0.319  0.569  0.138
Se  0.616  0.835  0.101
Ru  0.681  0.431  0.862
Se  0.224  0.885  0.402
Se  0.384  0.165  0.899
Se  0.015  0.734  0.899
Ni  0.932  0.182  0.364
Se  0.985  0.266  0.101
Se  0.776  0.115  0.598



Verdict on stability: *one* comes out at the bottom.



*one*
A plane-wave DFT calculation with PBE was carried out for a geometry-optimized VNi2RuSe structure.

Computed properties:
Spin magnetization in μB/cell: 0.0

Lattice parameters (Å, degrees): 4.212 4.507 4.212 90.00 90.00 90.00
Atoms (fractional coordinates):
Ni  0.000  0.000  0.500
V  0.000  0.500  0.000
Ru  0.500  0.500  0.500
Ni  0.500  0.000  0.000
Se  0.000  0.000  0.000



*two*
A plane-wave DFT calculation with PBE was carried out for a geometry-optimized VNi2RuSe structure.

Computed properties:
Spin magnetization in μB/cell: 1.3

Lattice parameters (Å, degrees): 4.249 4.249 4.539 90.00 90.00 90.00
Site moments in Bohr magnetons follow the coordinates.
Atoms (fractional coordinates):
Ni  0.500  0.000  0.000  0.07
V  0.000  0.000  0.000  -0.04
Se  0.000  0.000  0.500  -0.01
Ni  0.000  0.500  0.000  0.07
Ru  0.500  0.500  0.500  1.19



Verdict on stability: *two* comes out at the bottom.